Record 1
VASP calculation (PBE) on a geometry-optimized Ba2ErScTe5 structure.

total magnetization: 0.00 μB per formula unit
ΔE_f (raw): -1495 meV/atom
energy: -4.878 eV/atom
symmetry: Cmc2_1 (36)

Lattice parameters (Å, degrees): 4.642 9.825 14.824 90.00 90.00 103.66
Fractional coordinates of all 18 atoms:
Te: 0.052 0.104 0.054
Te: 0.678 0.356 0.882
Te: 0.372 0.744 0.999
Te: 0.948 0.896 0.554
Te: 0.322 0.644 0.382
Te: 0.717 0.434 0.155
Te: 0.628 0.256 0.499
Te: 0.283 0.566 0.655
Te: 0.488 0.976 0.770
Te: 0.512 0.024 0.270
Er: 0.789 0.578 0.519
Er: 0.211 0.422 0.019
Ba: 0.144 0.287 0.309
Ba: 0.856 0.713 0.809
Ba: 0.107 0.214 0.686
Ba: 0.893 0.786 0.186
Sc: 0.472 0.944 0.450
Sc: 0.528 0.056 0.950


Record 2
VASP calculation (PBE) on a geometry-optimized SrPaPb2 structure.

total magnetization: 1.16 μB per formula unit
DOS at the Fermi energy: 6.36 states/eV/f.u.
energy: -4.805 eV/atom
symmetry: P4/mmm (123)
offset from the most stable computed form: 0 meV/atom

Lattice parameters (Å, degrees): 3.602 3.602 9.330 90.00 90.00 90.00
Each line ends with the local moment (μB).
Fractional coordinates of all 4 atoms:
Pa: 0.500 0.500 0.000  0.99
Sr: 0.500 0.500 0.500  0.00
Pb: 0.000 0.000 0.238  -0.02
Pb: 0.000 0.000 0.762  -0.02


Record 3
VASP calculation (PBE) on a geometry-optimized La3Pr5Tm structure.

total magnetization: 0.00 μB per formula unit
DOS at the Fermi energy: 13.27 states/eV/f.u.
energy: -4.401 eV/atom
symmetry: C2/m (12)

Lattice parameters (Å, degrees): 8.020 8.020 12.197 84.80 84.80 61.35
Fractional coordinates of all 18 atoms:
Pr: 0.913 0.338 0.241
Pr: 0.671 0.329 0.000
Pr: 0.499 0.499 0.627
Pr: 0.329 0.671 0.000
Pr: 0.662 0.087 0.759
Pr: 0.755 0.755 0.028
Pr: 0.087 0.662 0.759
Pr: 0.338 0.913 0.241
Pr: 0.245 0.245 0.972
Pr: 0.501 0.501 0.373
La: 0.000 0.000 0.500
La: 0.265 0.265 0.513
La: 0.338 0.338 0.224
La: 0.000 0.000 0.000
La: 0.662 0.662 0.776
La: 0.735 0.735 0.487
Tm: 0.892 0.892 0.255
Tm: 0.108 0.108 0.745


Record 4
VASP calculation (PBE) on a geometry-optimized PmCu structure.

total magnetization: 0.32 μB per formula unit
DOS at the Fermi energy: 2.68 states/eV/f.u.
energy: -4.368 eV/atom
symmetry: Fm-3m (225)

Lattice parameters (Å, degrees): 4.178 4.178 4.178 60.00 60.00 60.00
Each line ends with the local moment (μB).
Fractional coordinates of all 2 atoms:
Cu: 0.000 0.000 0.000  0.02
Pm: 0.500 0.500 0.500  0.10


Record 5
VASP calculation (PBE) on a geometry-optimized NbGeTePO structure.

total magnetization: 0.00 μB per formula unit
DOS at the Fermi energy: 0.11 states/eV/f.u.
ΔE_f (raw): -645 meV/atom
energy: -6.285 eV/atom
symmetry: Cm (8)
offset from the most stable computed form: 69 meV/atom

Lattice parameters (Å, degrees): 4.852 3.872 13.113 90.00 92.11 90.00
Fractional coordinates of all 10 atoms:
Te: 0.769 0.500 0.072
Te: 0.769 0.000 0.572
Ge: 0.276 0.000 0.681
Ge: 0.276 0.500 0.181
P: 0.278 0.500 0.797
P: 0.278 0.000 0.297
O: 0.803 0.500 0.353
O: 0.803 0.000 0.853
Nb: 0.775 0.000 0.369
Nb: 0.775 0.500 0.869


Record 6
VASP calculation (PBE) on a geometry-optimized NaSnI2 structure.

total magnetization: 0.00 μB per formula unit
ΔE_f (raw): -695 meV/atom
energy: -2.801 eV/atom
symmetry: P1 (1)
offset from the most stable computed form: 0 meV/atom

Lattice parameters (Å, degrees): 4.785 8.175 9.983 82.70 76.79 86.51
Fractional coordinates of all 8 atoms:
Na: 0.834 0.795 0.335
Na: 0.183 0.270 0.651
Sn: 0.166 0.708 0.846
Sn: 0.662 0.922 0.799
I: 0.253 0.642 0.544
I: 0.436 0.778 0.125
I: 0.567 0.253 0.884
I: 0.774 0.104 0.498


Record 7
VASP calculation (PBE) on a geometry-optimized SrCd3Hg6 structure.

total magnetization: 0.00 μB per formula unit
DOS at the Fermi energy: 3.32 states/eV/f.u.
energy: -0.763 eV/atom
symmetry: Cmc2_1 (36)
offset from the most stable computed form: 0 meV/atom

Lattice parameters (Å, degrees): 8.774 8.234 8.234 116.35 90.00 90.00
Fractional coordinates of all 20 atoms:
Cd: 0.427 0.962 0.683
Cd: 0.880 0.437 0.563
Cd: 0.427 0.317 0.038
Cd: 0.927 0.683 0.962
Cd: 0.927 0.038 0.317
Cd: 0.380 0.563 0.437
Sr: 0.543 0.801 0.199
Sr: 0.043 0.199 0.801
Hg: 0.098 0.338 0.248
Hg: 0.766 0.027 0.973
Hg: 0.793 0.474 0.166
Hg: 0.661 0.262 0.738
Hg: 0.598 0.662 0.752
Hg: 0.098 0.752 0.662
Hg: 0.293 0.166 0.474
Hg: 0.598 0.248 0.338
Hg: 0.161 0.738 0.262
Hg: 0.266 0.973 0.027
Hg: 0.793 0.834 0.526
Hg: 0.293 0.526 0.834


Record 8
VASP calculation (PBE) on a geometry-optimized Tb2Pm7Dy2 structure.

total magnetization: 0.00 μB per formula unit
DOS at the Fermi energy: 17.26 states/eV/f.u.
energy: -4.363 eV/atom
symmetry: Cmmm (65)
offset from the most stable computed form: 182 meV/atom

Lattice parameters (Å, degrees): 9.583 6.912 6.912 122.41 90.00 90.00
Fractional coordinates of all 11 atoms:
Pm: 0.683 0.500 0.000
Pm: 0.180 0.500 0.500
Pm: 0.317 0.500 0.000
Pm: 0.317 0.000 0.500
Pm: 0.683 0.000 0.500
Pm: 0.820 0.500 0.500
Pm: 0.000 0.000 0.000
Tb: 0.000 0.732 0.268
Tb: 0.000 0.268 0.732
Dy: 0.500 0.749 0.749
Dy: 0.500 0.251 0.251


Record 9
VASP calculation (PBE) on a geometry-optimized Cs2Rb2Pt structure.

total magnetization: 0.00 μB per formula unit
DOS at the Fermi energy: 4.34 states/eV/f.u.
energy: -1.516 eV/atom
symmetry: I4/mmm (139)
offset from the most stable computed form: 249 meV/atom

Lattice parameters (Å, degrees): 5.284 5.284 13.277 78.52 78.52 90.00
Fractional coordinates of all 5 atoms:
Cs: 0.429 0.429 0.141
Cs: 0.571 0.571 0.859
Rb: 0.750 0.250 0.500
Rb: 0.250 0.750 0.500
Pt: 0.000 0.000 0.000


Record 10
VASP calculation (PBE) on a geometry-optimized K2SnPd3 structure.

total magnetization: 0.00 μB per formula unit
DOS at the Fermi energy: 2.54 states/eV/f.u.
energy: -3.885 eV/atom
symmetry: R-3m (166)

Lattice parameters (Å, degrees): 5.542 5.542 5.542 65.05 65.05 65.05
Fractional coordinates of all 6 atoms:
K: 0.379 0.379 0.379
K: 0.621 0.621 0.621
Pd: 0.000 0.000 0.500
Pd: 0.500 0.000 0.000
Pd: 0.000 0.500 0.000
Sn: 0.000 0.000 0.000


Record 11
VASP calculation (PBE) on a geometry-optimized Ba4Bi6Pb5 structure.

total magnetization: 0.00 μB per formula unit
DOS at the Fermi energy: 5.85 states/eV/f.u.
energy: -3.762 eV/atom
symmetry: Cmc2_1 (36)

Lattice parameters (Å, degrees): 5.001 13.365 18.381 90.00 90.00 100.78
Fractional coordinates of all 30 atoms:
Bi: 0.400 0.800 0.385
Bi: 0.548 0.095 0.354
Bi: 0.884 0.769 0.621
Bi: 0.560 0.120 0.605
Bi: 0.116 0.231 0.121
Bi: 0.741 0.483 0.289
Bi: 0.452 0.905 0.854
Bi: 0.440 0.880 0.105
Bi: 0.217 0.433 0.502
Bi: 0.783 0.567 0.002
Bi: 0.600 0.200 0.885
Bi: 0.259 0.517 0.789
Pb: 0.318 0.635 0.261
Pb: 0.144 0.287 0.633
Pb: 0.695 0.391 0.133
Pb: 0.554 0.108 0.183
Pb: 0.643 0.287 0.475
Pb: 0.305 0.609 0.633
Pb: 0.682 0.365 0.761
Pb: 0.856 0.713 0.133
Pb: 0.446 0.892 0.683
Pb: 0.357 0.713 0.975
Ba: 0.185 0.370 0.948
Ba: 0.043 0.085 0.766
Ba: 0.815 0.630 0.448
Ba: 0.146 0.292 0.312
Ba: 0.007 0.014 0.989
Ba: 0.854 0.708 0.812
Ba: 0.993 0.986 0.489
Ba: 0.957 0.915 0.266


Record 12
VASP calculation (PBE) on a geometry-optimized LiZrPb2 structure.

total magnetization: 0.00 μB per formula unit
DOS at the Fermi energy: 0.41 states/eV/f.u.
energy: -4.648 eV/atom
symmetry: R-3m (166)

Lattice parameters (Å, degrees): 10.172 10.172 10.172 18.89 18.89 18.89
Fractional coordinates of all 4 atoms:
Zr: 0.250 0.250 0.250
Li: 0.750 0.750 0.750
Pb: 0.004 0.004 0.004
Pb: 0.496 0.496 0.496


Record 13
VASP calculation (PBE) on a geometry-optimized ScBeW structure.

total magnetization: 0.00 μB per formula unit
DOS at the Fermi energy: 2.30 states/eV/f.u.
energy: -7.514 eV/atom
symmetry: Ama2 (40)
offset from the most stable computed form: 134 meV/atom

Lattice parameters (Å, degrees): 4.367 4.543 9.825 90.00 90.00 90.00
Fractional coordinates of all 12 atoms:
W: 0.250 0.664 0.532
W: 0.750 0.836 0.032
W: 0.750 0.336 0.532
W: 0.250 0.164 0.032
Be: 0.750 0.342 0.135
Be: 0.250 0.658 0.135
Be: 0.250 0.158 0.635
Be: 0.750 0.842 0.635
Sc: 0.250 0.730 0.831
Sc: 0.250 0.230 0.331
Sc: 0.750 0.270 0.831
Sc: 0.750 0.770 0.331


Record 14
VASP calculation (PBE) on a geometry-optimized BaPuRh structure.

total magnetization: 5.70 μB per formula unit
DOS at the Fermi energy: 8.39 states/eV/f.u.
energy: -7.976 eV/atom
symmetry: I4mm (107)

Lattice parameters (Å, degrees): 3.719 3.719 6.928 105.57 105.57 90.00
Each line ends with the local moment (μB).
Fractional coordinates of all 3 atoms:
Ba: 0.989 0.989 0.979  0.13
Rh: 0.290 0.290 0.580  -0.32
Pu: 0.721 0.721 0.441  5.27


Record 15
VASP calculation (PBE) on a geometry-optimized Y2ZrCr structure.

total magnetization: 2.38 μB per formula unit
DOS at the Fermi energy: 5.01 states/eV/f.u.
energy: -7.479 eV/atom
symmetry: Pm (6)
offset from the most stable computed form: 64 meV/atom

Lattice parameters (Å, degrees): 4.912 3.417 6.313 74.38 90.00 90.00
Each line ends with the local moment (μB).
Fractional coordinates of all 4 atoms:
Zr: 0.000 0.682 0.509  -0.34
Cr: 0.500 0.570 0.740  3.08
Y: 0.000 0.959 0.957  -0.13
Y: 0.500 0.289 0.294  -0.15


Record 16
VASP calculation (PBE) on a geometry-optimized Sc2MnCo structure.

total magnetization: 3.88 μB per formula unit
DOS at the Fermi energy: 3.88 states/eV/f.u.
energy: -7.256 eV/atom
symmetry: P4mm (99)

Lattice parameters (Å, degrees): 3.101 3.101 7.292 90.00 90.00 90.00
Each line ends with the local moment (μB).
Fractional coordinates of all 4 atoms:
Co: 0.000 0.000 0.530  1.32
Sc: 0.000 0.000 0.948  -0.29
Sc: 0.500 0.500 0.317  -0.06
Mn: 0.500 0.500 0.705  2.94


Record 17
VASP calculation (PBE) on a geometry-optimized CdSbAu4 structure.

total magnetization: 0.00 μB per formula unit
DOS at the Fermi energy: 1.79 states/eV/f.u.
ΔE_f (raw): 6 meV/atom
energy: -3.019 eV/atom
symmetry: C2/m (12)
offset from the most stable computed form: 50 meV/atom

Lattice parameters (Å, degrees): 5.558 6.313 7.771 90.00 90.00 67.40
Fractional coordinates of all 12 atoms:
Au: 0.759 0.493 0.440
Au: 0.759 0.993 0.940
Au: 0.759 0.493 0.060
Au: 0.241 0.007 0.440
Au: 0.241 0.507 0.560
Au: 0.241 0.507 0.940
Au: 0.241 0.007 0.060
Au: 0.759 0.993 0.560
Cd: 0.000 0.750 0.250
Cd: 0.000 0.250 0.750
Sb: 0.500 0.750 0.750
Sb: 0.500 0.250 0.250


Record 18
VASP calculation (PBE) on a geometry-optimized Na2WS4 structure.

total magnetization: 0.00 μB per formula unit
ΔE_f (raw): -810 meV/atom
energy: -5.396 eV/atom
symmetry: Pnma (62)

Lattice parameters (Å, degrees): 7.074 8.554 12.255 90.00 90.00 90.00
Fractional coordinates of all 28 atoms:
S: 0.500 0.654 0.883
S: 0.750 0.246 0.370
S: 0.000 0.654 0.883
S: 0.500 0.154 0.617
S: 0.250 0.254 0.870
S: 0.500 0.346 0.117
S: 0.000 0.154 0.617
S: 0.750 0.023 0.903
S: 0.000 0.346 0.117
S: 0.750 0.523 0.597
S: 0.500 0.846 0.383
S: 0.000 0.846 0.383
S: 0.250 0.477 0.403
S: 0.250 0.977 0.097
S: 0.250 0.754 0.630
S: 0.750 0.746 0.130
W: 0.750 0.275 0.549
W: 0.250 0.225 0.049
W: 0.750 0.775 0.951
W: 0.250 0.725 0.451
Na: 0.750 0.368 0.919
Na: 0.750 0.575 0.343
Na: 0.250 0.425 0.657
Na: 0.750 0.075 0.157
Na: 0.750 0.868 0.581
Na: 0.250 0.632 0.081
Na: 0.250 0.132 0.419
Na: 0.250 0.925 0.843


Record 19
VASP calculation (PBE) on a geometry-optimized Ac2YSb3Pt4 structure.

total magnetization: 0.00 μB per formula unit
DOS at the Fermi energy: 3.58 states/eV/f.u.
ΔE_f (raw): -989 meV/atom
energy: -6.110 eV/atom
symmetry: P-4m2 (115)

Lattice parameters (Å, degrees): 4.656 4.656 11.385 90.00 90.00 90.00
Fractional coordinates of all 10 atoms:
Ac: 0.000 0.500 0.778
Ac: 0.500 0.000 0.222
Pt: 0.500 0.000 0.643
Pt: 0.500 0.500 0.000
Pt: 0.000 0.500 0.357
Pt: 0.000 0.000 0.000
Sb: 0.000 0.000 0.500
Sb: 0.500 0.000 0.875
Sb: 0.000 0.500 0.125
Y: 0.500 0.500 0.500


Record 20
VASP calculation (PBE) on a geometry-optimized TaRu2Rh structure.

total magnetization: 0.00 μB per formula unit
DOS at the Fermi energy: 4.26 states/eV/f.u.
energy: -9.714 eV/atom
symmetry: I-4m2 (119)
offset from the most stable computed form: 59 meV/atom

Lattice parameters (Å, degrees): 4.773 4.773 4.773 131.59 131.59 70.87
Fractional coordinates of all 4 atoms:
Ru: 0.000 0.000 0.000
Ru: 0.250 0.750 0.500
Rh: 0.750 0.250 0.500
Ta: 0.500 0.500 0.000


Record 21
VASP calculation (PBE) on a geometry-optimized ZrHgPb2 structure.

total magnetization: 0.00 μB per formula unit
DOS at the Fermi energy: 2.50 states/eV/f.u.
energy: -4.034 eV/atom
symmetry: I-4m2 (119)

Lattice parameters (Å, degrees): 6.039 6.039 6.039 137.17 137.17 62.18
Fractional coordinates of all 4 atoms:
Hg: 0.750 0.250 0.500
Pb: 0.250 0.750 0.500
Pb: 0.000 0.000 0.000
Zr: 0.500 0.500 0.000


Record 22
VASP calculation (PBE) on a geometry-optimized Zn12Cu6Ge structure.

total magnetization: 0.00 μB per formula unit
DOS at the Fermi energy: 5.31 states/eV/f.u.
energy: -2.341 eV/atom
symmetry: R-3 (148)

Lattice parameters (Å, degrees): 6.685 7.119 7.119 69.33 71.76 108.24
Fractional coordinates of all 19 atoms:
Zn: 0.263 0.434 0.620
Zn: 0.669 0.881 0.847
Zn: 0.117 0.380 0.054
Zn: 0.331 0.119 0.153
Zn: 0.516 0.847 0.271
Zn: 0.829 0.946 0.434
Zn: 0.788 0.271 0.881
Zn: 0.212 0.729 0.119
Zn: 0.171 0.054 0.566
Zn: 0.484 0.153 0.729
Zn: 0.737 0.566 0.380
Zn: 0.883 0.620 0.946
Cu: 0.953 0.313 0.474
Cu: 0.360 0.787 0.687
Cu: 0.427 0.474 0.213
Cu: 0.573 0.526 0.787
Cu: 0.047 0.687 0.526
Cu: 0.640 0.213 0.313
Ge: 0.000 0.000 0.000